# 1
This record from the Alexandria database describes a relaxed Li2TlW crystal. The functional is PBE-GGA.

a b c (Å): 2.9195 2.9195 7.9955
angles (deg): 90.00 90.00 90.00
Last column: nearest neighbours and their distance in Å.
Positions (direct):
Li 0.5000 0.5000 0.2346  8 Li 2.75-2.92, 4 Tl 2.87
Tl 0.0000 0.0000 0.4847  4 Li 2.87, 4 Tl 2.92, 4 W 3.10
W 0.5000 0.5000 0.7737  4 Li 2.78, 4 W 2.92, 4 Tl 3.10
Li 0.0000 0.0000 0.0070  8 Li 2.75-2.92, 4 W 2.78

Values from the calculation:
- E_tot: -4.328 eV per atom
- Crystal system: tetragonal
- Energy of formation: 0.459 eV per atom
- E above lowest polymorph: 0.19 eV per formula unit
- D(E_F): 1.5 states/eV/cell



# 2
This record from the Alexandria database describes a relaxed Li2TlW crystal. The functional is PBE-GGA.

a b c (Å): 7.1586 7.1586 5.7718
angles (deg): 51.67 51.67 90.00
Last column: nearest neighbours and their distance in Å.
Positions (direct):
Tl 0.0000 0.0000 0.0000  4 Li 2.59, 2 W 2.77
Li 0.6328 0.1250 0.2500  2 Tl 2.59, 2 W 2.66, 2 Li 2.78
Tl 0.7500 0.2500 0.5000  4 Li 2.59, 2 W 2.77
W 0.5000 0.5000 0.0000  4 Li 2.66, 2 Tl 2.77
W 0.2500 0.7500 0.5000  4 Li 2.66, 2 Tl 2.77
Li 0.1172 0.6250 0.2500  2 Tl 2.59, 2 W 2.66, 2 Li 2.78
Li 0.3750 0.3672 0.7500  2 Tl 2.59, 2 W 2.66, 2 Li 2.78
Li 0.8750 0.8828 0.7500  2 Tl 2.59, 2 W 2.66, 2 Li 2.78

Values from the calculation:
- E_tot: -3.814 eV per atom
- Crystal system: tetragonal
- Energy of formation: 0.973 eV per atom
- E above lowest polymorph: 2.25 eV per formula unit
- D(E_F): 3.1 states/eV/cell



# 3
This record from the Alexandria database describes a relaxed LiTl3W crystal. The functional is PBE-GGA.

a b c (Å): 5.0106 5.0106 5.0106
angles (deg): 90.00 90.00 90.00
Last column: nearest neighbours and their distance in Å.
Positions (direct):
W 0.5000 0.5000 0.5000  12 Tl 3.54
Tl 0.0000 0.0000 0.5000  2 Li 2.51
Tl 0.5000 0.0000 0.0000  2 Li 2.51
Li 0.0000 0.0000 0.0000  6 Tl 2.51
Tl 0.0000 0.5000 0.0000  2 Li 2.51

Values from the calculation:
- E_tot: -3.187 eV per atom
- Crystal system: cubic
- Energy of formation: 1.206 eV per atom
- E above lowest polymorph: 2.75 eV per formula unit
- D(E_F): 2.4 states/eV/cell



# 4
This record from the Alexandria database describes a relaxed Li2TlW crystal. The functional is PBE-GGA.

a b c (Å): 4.5204 4.5204 4.5204
angles (deg): 60.00 60.00 60.00
Last column: nearest neighbours and their distance in Å.
Positions (direct):
Tl 0.5000 0.5000 0.5000  8 Li 2.77
Li 0.2500 0.2500 0.2500  4 Tl 2.77, 4 W 2.77
Li 0.7500 0.7500 0.7500  4 Tl 2.77, 4 W 2.77
W 0.0000 0.0000 0.0000  8 Li 2.77

Values from the calculation:
- E_tot: -4.028 eV per atom
- Crystal system: cubic
- Energy of formation: 0.759 eV per atom
- E above lowest polymorph: 1.39 eV per formula unit
- D(E_F): 1.8 states/eV/cell



# 5
This record from the Alexandria database describes a relaxed Li2TlW crystal. The functional is PBE-GGA.

a b c (Å): 5.3256 5.3256 5.3256
angles (deg): 136.15 136.15 63.76
Last column: nearest neighbours and their distance in Å.
Positions (direct):
W 0.7500 0.2500 0.5000  4 Tl 2.81, 8 Li 3.01
Li 0.5000 0.5000 0.0000  4 Li 2.81, 4 Tl 3.01, 4 W 3.01
Tl 0.2500 0.7500 0.5000  4 W 2.81, 8 Li 3.01
Li 0.0000 0.0000 0.0000  4 Li 2.81, 4 Tl 3.01, 4 W 3.01

Values from the calculation:
- E_tot: -4.083 eV per atom
- Crystal system: tetragonal
- Energy of formation: 0.704 eV per atom
- E above lowest polymorph: 1.17 eV per formula unit
- D(E_F): 2.4 states/eV/cell



# 6
This record from the Alexandria database describes a relaxed Li2TlW crystal. The functional is PBE-GGA.

a b c (Å): 5.5466 5.5466 5.5466
angles (deg): 150.03 129.21 60.10
Last column: nearest neighbours and their distance in Å.
Positions (direct):
Tl 0.5190 0.5190 0.0000  6 Li 2.68-2.80, 2 Tl 2.87, 2 W 3.00
W 0.2442 0.7442 0.5000  6 Li 2.78-2.90, 2 W 2.87, 2 Tl 3.00
Li 0.9813 0.9813 0.0000  4 Li 2.60-2.87, 4 Tl 2.80, 2 W 2.90
Li 0.7554 0.2554 0.5000  4 Li 2.60-2.87, 2 Tl 2.68, 4 W 2.78

Values from the calculation:
- E_tot: -4.176 eV per atom
- Crystal system: orthorhombic
- Energy of formation: 0.611 eV per atom
- E above lowest polymorph: 0.80 eV per formula unit
- D(E_F): 3.6 states/eV/cell



# 7
This record from the Alexandria database describes a relaxed LiTl3W crystal. The functional is PBE-GGA.

a b c (Å): 5.3988 5.3988 5.3988
angles (deg): 90.00 90.00 90.00
Last column: nearest neighbours and their distance in Å.
Positions (direct):
Li 0.5000 0.5000 0.5000  12 Tl 3.82
Tl 0.0000 0.5000 0.0000  2 W 2.70
Tl 0.0000 0.0000 0.5000  2 W 2.70
W 0.0000 0.0000 0.0000  6 Tl 2.70
Tl 0.5000 0.0000 0.0000  2 W 2.70

Values from the calculation:
- E_tot: -3.738 eV per atom
- Crystal system: cubic
- Energy of formation: 0.655 eV per atom
- E above lowest polymorph: 0.00 eV per formula unit
- D(E_F): 2.9 states/eV/cell



# 8
This record from the Alexandria database describes a relaxed LiTlW crystal. The functional is PBE-GGA.

a b c (Å): 7.2567 7.2567 7.2567
angles (deg): 157.56 157.56 31.94
Last column: nearest neighbours and their distance in Å.
Positions (direct):
Li 0.0039 0.0039 0.0000  4 Li 2.82, 4 W 2.96, 4 Tl 3.08
W 0.6603 0.6603 0.0000  4 W 2.82, 4 Li 2.96, 4 Tl 3.16
Tl 0.3358 0.3358 0.0000  4 Tl 2.82, 4 Li 3.08, 4 W 3.16

Values from the calculation:
- E_tot: -5.089 eV per atom
- Crystal system: tetragonal
- Energy of formation: 0.655 eV per atom
- E above lowest polymorph: 0.07 eV per formula unit
- D(E_F): 1.8 states/eV/cell



# 9
This record from the Alexandria database describes a relaxed Li2TlW crystal. The functional is PBE-GGA.

a b c (Å): 5.3872 5.3872 2.7436
angles (deg): 90.00 90.00 116.45
Last column: nearest neighbours and their distance in Å.
Positions (direct):
Tl 0.5000 0.0000 0.5000  2 Tl 2.74, 2 W 2.84, 8 Li 3.02
Li 0.5000 0.5000 0.0000  4 Li 2.74-2.84, 4 Tl 3.02, 4 W 3.02
W 0.0000 0.5000 0.5000  2 W 2.74, 2 Tl 2.84, 8 Li 3.02
Li 0.0000 0.0000 0.0000  4 Li 2.74-2.84, 4 W 3.02, 4 Tl 3.02

Values from the calculation:
- E_tot: -4.225 eV per atom
- Crystal system: orthorhombic
- Energy of formation: 0.562 eV per atom
- E above lowest polymorph: 0.60 eV per formula unit
- D(E_F): 2.7 states/eV/cell



# 10
This record from the Alexandria database describes a relaxed LiTlW crystal. The functional is PBE-GGA.

a b c (Å): 4.5861 4.5861 4.5861
angles (deg): 60.00 60.00 60.00
Last column: nearest neighbours and their distance in Å.
Positions (direct):
Tl 0.5000 0.5000 0.5000  4 W 2.81
Li 0.0000 0.0000 0.0000  4 W 2.81
W 0.7500 0.7500 0.7500  4 Tl 2.81, 4 Li 2.81

Values from the calculation:
- E_tot: -4.252 eV per atom
- Crystal system: cubic
- Energy of formation: 1.493 eV per atom
- E above lowest polymorph: 2.58 eV per formula unit
- D(E_F): 3.6 states/eV/cell



# 11
This record from the Alexandria database describes a relaxed LiTlW3 crystal. The functional is PBE-GGA.

a b c (Å): 4.3411 4.3411 4.3411
angles (deg): 90.00 90.00 90.00
Last column: nearest neighbours and their distance in Å.
Positions (direct):
W 0.0000 0.0000 0.5000  2 Li 2.17
Tl 0.5000 0.5000 0.5000  12 W 3.07
W 0.0000 0.5000 0.0000  2 Li 2.17
W 0.5000 0.0000 0.0000  2 Li 2.17
Li 0.0000 0.0000 0.0000  6 W 2.17

Values from the calculation:
- E_tot: -7.007 eV per atom
- Crystal system: cubic
- Energy of formation: 1.621 eV per atom
- E above lowest polymorph: 0.00 eV per formula unit
- D(E_F): 3.8 states/eV/cell



# 12
This record from the Alexandria database describes a relaxed Li2TlW crystal. The functional is PBE-GGA.

a b c (Å): 4.9435 4.9435 4.9435
angles (deg): 130.01 130.01 73.39
Last column: nearest neighbours and their distance in Å.
Positions (direct):
Li 0.2500 0.7500 0.5000  4 Li 2.88, 4 Tl 2.88, 4 W 2.95
Tl 0.5000 0.5000 0.0000  4 W 2.88, 8 Li 2.88-2.95
W 0.7500 0.2500 0.5000  4 Tl 2.88, 8 Li 2.88-2.95
Li 0.0000 0.0000 0.0000  4 Li 2.88, 4 W 2.88, 4 Tl 2.95

Values from the calculation:
- E_tot: -4.047 eV per atom
- Crystal system: tetragonal
- Energy of formation: 0.739 eV per atom
- E above lowest polymorph: 1.31 eV per formula unit
- D(E_F): 3.1 states/eV/cell